No. 1
! MgH3O | Alexandria | PBE | relaxed; values from VASP
&SYSTEM
  ibrav = 0, nat = 5, ntyp = 3
/
ATOMIC_SPECIES
Mg 24.30 Mg.upf
H 1.01 H.upf
O 16.00 O.upf
CELL_PARAMETERS angstrom
3.380 0.000 0.000
0.000 3.380 0.000
0.000 0.000 3.380
ATOMIC_POSITIONS crystal
Mg 0.000 0.000 0.000
H 0.000 0.500 0.500
H 0.500 0.000 0.500
H 0.500 0.500 0.000
O 0.500 0.500 0.500
! Final energy ... -2.635 eV/atom
! Total moment ... 0.00 μB per cell
! Density of states at the Fermi level ... 0.601 states/eV per atom

***

No. 2
! Li3Dy3AlTe8 | Alexandria | PBE | relaxed; values from VASP
&SYSTEM
  ibrav = 0, nat = 15, ntyp = 4
/
ATOMIC_SPECIES
Li 6.94 Li.upf
Dy 162.50 Dy.upf
Al 26.98 Al.upf
Te 127.60 Te.upf
CELL_PARAMETERS angstrom
4.279 2.471 7.025
-4.279 2.471 7.025
0.000 -4.941 7.025
ATOMIC_POSITIONS crystal
Li 0.000 0.500 0.500
Li 0.500 0.000 0.500
Li 0.500 0.500 0.000
Dy 0.000 0.000 0.500
Dy 0.000 0.500 0.000
Dy 0.500 0.000 0.000
Al 0.500 0.500 0.500
Te 0.253 0.253 0.253
Te 0.263 0.263 0.730
Te 0.263 0.730 0.263
Te 0.270 0.737 0.737
Te 0.730 0.263 0.263
Te 0.737 0.270 0.737
Te 0.737 0.737 0.270
Te 0.747 0.747 0.747
! Raw formation energy ... -1.04 eV/atom
! Total moment ... 0.00 μB per cell
! Density of states at the Fermi level ... 0.436 states/eV per atom

***

No. 3
! ErTl2P2Se7 | Alexandria | PBE | relaxed; values from VASP
&SYSTEM
  ibrav = 0, nat = 48, ntyp = 4
/
ATOMIC_SPECIES
Er 167.26 Er.upf
Tl 204.38 Tl.upf
P 30.97 P.upf
Se 78.96 Se.upf
CELL_PARAMETERS angstrom
12.057 -3.521 0.000
12.057 3.521 0.000
-9.648 0.000 17.159
ATOMIC_POSITIONS crystal
Er 0.079 0.243 0.239
Er 0.243 0.079 0.739
Er 0.757 0.921 0.261
Er 0.921 0.757 0.761
Tl 0.154 0.188 0.022
Tl 0.188 0.154 0.522
Tl 0.436 0.560 0.133
Tl 0.440 0.564 0.367
Tl 0.560 0.436 0.633
Tl 0.564 0.440 0.867
Tl 0.812 0.846 0.478
Tl 0.846 0.812 0.978
P 0.014 0.890 0.694
P 0.110 0.986 0.806
P 0.290 0.371 0.358
P 0.371 0.290 0.858
P 0.629 0.710 0.142
P 0.710 0.629 0.642
P 0.890 0.014 0.194
P 0.986 0.110 0.306
Se 0.034 0.915 0.599
Se 0.082 0.713 0.199
Se 0.085 0.966 0.901
Se 0.092 0.692 0.388
Se 0.195 0.601 0.909
Se 0.200 0.322 0.400
Se 0.222 0.582 0.700
Se 0.250 0.303 0.730
Se 0.287 0.918 0.301
Se 0.303 0.250 0.230
Se 0.308 0.908 0.112
Se 0.322 0.200 0.900
Se 0.399 0.805 0.591
Se 0.418 0.778 0.800
Se 0.582 0.222 0.200
Se 0.601 0.195 0.409
Se 0.678 0.800 0.100
Se 0.692 0.092 0.888
Se 0.697 0.750 0.770
Se 0.713 0.082 0.699
Se 0.750 0.697 0.270
Se 0.778 0.418 0.300
Se 0.800 0.678 0.600
Se 0.805 0.399 0.091
Se 0.908 0.308 0.612
Se 0.915 0.034 0.099
Se 0.918 0.287 0.801
Se 0.966 0.085 0.401
! Raw formation energy ... -0.60 eV/atom
! Total moment ... 0.01 μB per cell

***

No. 4
! Li2TiCrPt | Alexandria | PBE | relaxed; values from VASP
&SYSTEM
  ibrav = 0, nat = 5, ntyp = 4
/
ATOMIC_SPECIES
Li 6.94 Li.upf
Ti 47.87 Ti.upf
Cr 52.00 Cr.upf
Pt 195.08 Pt.upf
CELL_PARAMETERS angstrom
4.310 0.000 0.000
0.000 4.310 0.000
0.000 0.000 4.709
ATOMIC_POSITIONS crystal
Li 0.000 0.500 0.000
Li 0.500 0.000 0.000
Ti 0.000 0.000 0.500
Cr 0.500 0.500 0.500
Pt 0.500 0.500 0.000
! Formation enthalpy at 0 K ... 0.68 eV per atom
! Total moment ... 0.00 μB per cell
! Density of states at the Fermi level ... 1.432 states/eV per atom

***

No. 5
! CeTlI | Alexandria | PBE | relaxed; values from VASP
&SYSTEM
  ibrav = 0, nat = 12, ntyp = 3
/
ATOMIC_SPECIES
Ce 140.12 Ce.upf
Tl 204.38 Tl.upf
I 126.90 I.upf
CELL_PARAMETERS angstrom
8.606 0.000 0.000
0.000 7.352 0.000
-2.661 0.000 7.034
ATOMIC_POSITIONS crystal
Ce 0.048 0.097 0.305
Ce 0.048 0.403 0.805
Ce 0.952 0.597 0.195
Ce 0.952 0.903 0.695
Tl 0.238 0.676 0.596
Tl 0.238 0.824 0.096
Tl 0.762 0.176 0.904
Tl 0.762 0.324 0.404
I 0.307 0.134 0.726
I 0.307 0.366 0.226
I 0.693 0.634 0.774
I 0.693 0.866 0.274
! Raw formation energy ... -0.37 eV/atom
! Total moment ... 4.89 μB per cell
! Density of states at the Fermi level ... 2.523 states/eV per atom

***

No. 6
! Tb2HoSc9 | Alexandria | PBE | relaxed; values from VASP
&SYSTEM
  ibrav = 0, nat = 12, ntyp = 3
/
ATOMIC_SPECIES
Tb 158.93 Tb.upf
Ho 164.93 Ho.upf
Sc 44.96 Sc.upf
CELL_PARAMETERS angstrom
3.194 1.844 9.397
-3.194 1.844 9.397
0.000 -3.688 9.397
ATOMIC_POSITIONS crystal
Tb 0.135 0.135 0.135
Tb 0.865 0.865 0.865
Ho 0.000 0.000 0.000
Sc 0.075 0.594 0.594
Sc 0.335 0.335 0.335
Sc 0.406 0.406 0.925
Sc 0.406 0.925 0.406
Sc 0.500 0.500 0.500
Sc 0.594 0.075 0.594
Sc 0.594 0.594 0.075
Sc 0.665 0.665 0.665
Sc 0.925 0.406 0.406
! Formation enthalpy at 0 K ... 0.26 eV per atom
! Total moment ... 2.26 μB per cell
! Density of states at the Fermi level ... 2.179 states/eV per atom

***

No. 7
! La3Sm | Alexandria | PBE | relaxed; values from VASP
&SYSTEM
  ibrav = 0, nat = 4, ntyp = 2
/
ATOMIC_SPECIES
La 138.91 La.upf
Sm 150.36 Sm.upf
CELL_PARAMETERS angstrom
-2.619 2.619 5.247
2.619 -2.619 5.247
2.619 2.619 -5.247
ATOMIC_POSITIONS crystal
La 0.000 0.000 0.000
La 0.250 0.750 0.500
La 0.750 0.250 0.500
Sm 0.500 0.500 0.000
! Formation enthalpy at 0 K ... 0.02 eV per atom
! Total moment ... 0.00 μB per cell
! Density of states at the Fermi level ... 2.490 states/eV per atom

***

No. 8
! Pa2AlGaNi6 | Alexandria | PBE | relaxed; values from VASP
&SYSTEM
  ibrav = 0, nat = 10, ntyp = 4
/
ATOMIC_SPECIES
Pa 231.04 Pa.upf
Al 26.98 Al.upf
Ga 69.72 Ga.upf
Ni 58.69 Ni.upf
CELL_PARAMETERS angstrom
4.451 -2.571 0.000
4.451 2.571 0.000
-2.981 0.000 7.483
ATOMIC_POSITIONS crystal
Pa 0.218 0.218 0.154
Pa 0.782 0.782 0.846
Al 0.500 0.500 0.000
Ga 0.000 0.000 0.500
Ni 0.246 0.753 0.248
Ni 0.247 0.754 0.752
Ni 0.248 0.248 0.753
Ni 0.752 0.752 0.247
Ni 0.753 0.246 0.248
Ni 0.754 0.247 0.752
! Formation enthalpy at 0 K ... -0.22 eV per atom
! Total moment ... 0.00 μB per cell
! Density of states at the Fermi level ... 0.793 states/eV per atom

***

No. 9
! La2YZn3 | Alexandria | PBE | relaxed; values from VASP
&SYSTEM
  ibrav = 0, nat = 6, ntyp = 3
/
ATOMIC_SPECIES
La 138.91 La.upf
Y 88.91 Y.upf
Zn 65.41 Zn.upf
CELL_PARAMETERS angstrom
5.237 0.000 0.000
-2.618 4.535 0.000
0.000 0.000 6.430
ATOMIC_POSITIONS crystal
La 0.333 0.667 0.174
La 0.667 0.333 0.826
Y 0.000 0.000 0.500
Zn 0.000 0.000 0.000
Zn 0.333 0.667 0.661
Zn 0.667 0.333 0.339
! Formation enthalpy at 0 K ... -0.31 eV per atom
! Total moment ... 0.00 μB per cell
! Density of states at the Fermi level ... 1.176 states/eV per atom

***

No. 10
! SmMg2SiN4 | Alexandria | PBE | relaxed; values from VASP
&SYSTEM
  ibrav = 0, nat = 8, ntyp = 4
/
ATOMIC_SPECIES
Sm 150.36 Sm.upf
Mg 24.30 Mg.upf
Si 28.09 Si.upf
N 14.01 N.upf
CELL_PARAMETERS angstrom
-2.686 2.686 3.434
2.686 -2.686 3.434
2.686 2.686 -3.434
ATOMIC_POSITIONS crystal
Sm 0.000 0.000 0.000
Mg 0.250 0.750 0.500
Mg 0.750 0.250 0.500
Si 0.500 0.500 0.000
N 0.168 0.564 0.000
N 0.436 0.436 0.604
N 0.564 0.168 0.000
N 0.832 0.832 0.396
! Raw formation energy ... -0.88 eV/atom
! Total moment ... 1.00 μB per cell
! Density of states at the Fermi level ... 0.620 states/eV per atom

***

No. 11
! RbCuPS2 | Alexandria | PBE | relaxed; values from VASP
&SYSTEM
  ibrav = 0, nat = 5, ntyp = 4
/
ATOMIC_SPECIES
Rb 85.47 Rb.upf
Cu 63.55 Cu.upf
P 30.97 P.upf
S 32.06 S.upf
CELL_PARAMETERS angstrom
4.958 0.000 0.000
0.000 4.958 0.000
0.000 0.000 4.434
ATOMIC_POSITIONS crystal
Rb 0.000 0.000 0.000
Cu 0.500 0.500 0.500
P 0.500 0.500 0.000
S 0.000 0.500 0.500
S 0.500 0.000 0.500
! Raw formation energy ... 0.18 eV/atom
! Total moment ... 0.00 μB per cell
! Density of states at the Fermi level ... 0.628 states/eV per atom

***

No. 12
! Y4Mg3Sn | Alexandria | PBE | relaxed; values from VASP
&SYSTEM
  ibrav = 0, nat = 8, ntyp = 3
/
ATOMIC_SPECIES
Y 88.91 Y.upf
Mg 24.30 Mg.upf
Sn 118.71 Sn.upf
CELL_PARAMETERS angstrom
2.667 1.540 8.727
-2.667 1.540 8.727
0.000 -3.080 8.727
ATOMIC_POSITIONS crystal
Y 0.124 0.124 0.124
Y 0.375 0.375 0.375
Y 0.625 0.625 0.625
Y 0.876 0.876 0.876
Mg 0.245 0.245 0.245
Mg 0.500 0.500 0.500
Mg 0.755 0.755 0.755
Sn 0.000 0.000 0.000
! Formation enthalpy at 0 K ... -0.30 eV per atom
! Total moment ... 0.00 μB per cell
! Density of states at the Fermi level ... 0.750 states/eV per atom

***

- Which value of total moment does entry 12 give?
  0.00 μB per cell